A plane-wave DFT calculation with PBE with a Hubbard U was carried out for Nb2WF after structural relaxation.

The structure belongs to space group Fm-3m (No. 225); the cell edges are 6.426, 6.426 and 6.426 Å and the angles 90.00°, 90.00° and 90.00°. The asymmetric unit holds Nb at (0.250, 0.250, 0.250), W at (0.000, 0.000, 0.000) and F at (0.000, 0.000, 0.500).

Its theoretical density is 9.73 g/cm3. As for the total energy: -27.64 eV/f.u. As for the density of states at the Fermi level: 28.4 states/eV per cell.